The following is a PBE calculation of a geometry-optimized Sr2InPd3Au12 structure, from the Alexandria database.

Output
E_form: 13 meV per atom
crystal system: trigonal
N(E_F): 4.49 states/eV per cell
calculated total energy: -3.38 eV per atom

a b c (Å): 8.4477 8.4477 8.4477
angles (deg): 64.66 64.66 64.66
Sites, in units of the cell vectors:
Sr  0.1123  0.1123  0.1123
Sr  0.8877  0.8877  0.8877
In  0.5000  0.5000  0.5000
Pd  0.0000  0.5000  0.5000
Pd  0.5000  0.0000  0.5000
Pd  0.5000  0.5000  0.0000
Au  0.1384  0.6338  0.6338
Au  0.1407  0.1407  0.5223
Au  0.1407  0.5223  0.1407
Au  0.3662  0.3662  0.8616
Au  0.3662  0.8617  0.3662
Au  0.4777  0.8593  0.8593
Au  0.5223  0.1407  0.1407
Au  0.6338  0.1384  0.6338
Au  0.6338  0.6338  0.1384
Au  0.8593  0.4777  0.8593
Au  0.8593  0.8593  0.4777
Au  0.8616  0.3662  0.3662

The following is a PBE calculation of a geometry-optimized CaCeAgRu structure, from the Alexandria database.

Output
E_form: -220 meV per atom
crystal system: tetragonal
relative energy among the computed polymorphs: 0.000 eV/atom
N(E_F): 3.54 states/eV per cell
calculated total energy: -5.24 eV per atom

a b c (Å): 3.5057 3.5057 7.5241
angles (deg): 90.00 90.00 90.00
Sites, in units of the cell vectors:
Ca  0.0000  0.0000  0.0000
Ce  0.0000  0.0000  0.5528
Ag  0.5000  0.5000  0.2698
Ru  0.5000  0.5000  0.7194

The following is a PBE calculation of a geometry-optimized Ce3PrN4 structure, from the Alexandria database.

Output
uncorrected formation energy: -33.5 kcal/mol of atoms
crystal system: orthorhombic
N(E_F): 15.14 states/eV per cell
calculated total energy: -8.44 eV per atom

a b c (Å): 7.1999 10.1762 3.5963
angles (deg): 90.00 90.00 90.00
Sites, in units of the cell vectors:
Ce  0.0000  0.0000  0.0000
Ce  0.2500  0.2500  0.5000
Ce  0.2500  0.7500  0.5000
Ce  0.5000  0.5000  0.0000
Ce  0.7500  0.2500  0.5000
Ce  0.7500  0.7500  0.5000
Pr  0.0000  0.5000  0.0000
Pr  0.5000  0.0000  0.0000
N  0.0000  0.2440  0.0000
N  0.0000  0.7560  0.0000
N  0.2363  0.0000  0.5000
N  0.2637  0.5000  0.5000
N  0.5000  0.2560  0.0000
N  0.5000  0.7440  0.0000
N  0.7363  0.5000  0.5000
N  0.7637  0.0000  0.5000

The following is a PBE calculation of a geometry-optimized KBeCl3 structure, from the Alexandria database.

Output
uncorrected formation energy: -31.1 kcal/mol of atoms
crystal system: cubic
relative energy among the computed polymorphs: 0.327 eV/atom
N(E_F): 0.00 states/eV per cell
calculated total energy: -3.42 eV per atom

a b c (Å): 4.6835 4.6835 4.6835
angles (deg): 90.00 90.00 90.00
Sites, in units of the cell vectors:
K  0.0000  0.0000  0.0000
Be  0.5000  0.5000  0.5000
Cl  0.0000  0.5000  0.5000
Cl  0.5000  0.0000  0.5000
Cl  0.5000  0.5000  0.0000

The following is a PBE calculation of a geometry-optimized LaTh2Pt structure, from the Alexandria database.

Output
E_form: -223 meV per atom
crystal system: trigonal
relative energy among the computed polymorphs: 0.382 eV/atom
N(E_F): 21.09 states/eV per cell
calculated total energy: -6.67 eV per atom

a b c (Å): 3.7884 3.7884 31.7147
angles (deg): 90.00 90.00 120.00
Sites, in units of the cell vectors:
La  0.0000  0.0000  0.0000
La  0.3333  0.6667  0.6667
La  0.6667  0.3333  0.3333
Th  0.0000  0.0000  0.1066
Th  0.0000  0.0000  0.8934
Th  0.3333  0.6667  0.5601
Th  0.3333  0.6667  0.7732
Th  0.6667  0.3333  0.2268
Th  0.6667  0.3333  0.4399
Pt  0.0000  0.0000  0.5000
Pt  0.3333  0.6667  0.1667
Pt  0.6667  0.3333  0.8333

The following is a PBE calculation of a geometry-optimized Ba2TcW structure, from the Alexandria database.

Output
E_form: 717 meV per atom
crystal system: orthorhombic
relative energy among the computed polymorphs: 0.209 eV/atom
N(E_F): 7.18 states/eV per cell
calculated total energy: -6.07 eV per atom

a b c (Å): 3.5417 3.7976 19.3488
angles (deg): 90.00 90.00 90.00
Sites, in units of the cell vectors:
Ba  0.0000  0.0000  0.1450
Ba  0.0000  0.0000  0.8550
Ba  0.5000  0.5000  0.3550
Ba  0.5000  0.5000  0.6450
Tc  0.0000  0.5000  0.5000
Tc  0.5000  0.0000  0.0000
W  0.0000  0.5000  0.0000
W  0.5000  0.0000  0.5000

Q: Among the records above, which one has the highest calculated total energy?
A: Sr2InPd3Au12

Q: Which value of calculated total energy does entry 2 give?
A: -5.24 eV per atom

Q: Which formula does entry 3 have?
A: Ce3PrN4

Q: Look up the calculated total energy of the fifth one.
A: -6.67 eV per atom